(1)
A geometry-optimized La2ErSn structure, computed with GGA-PBE.

Geometry as CIF:
```
data_La2ErSn
_chemical_formula_sum 'La2 Er1 Sn1'
_space_group_name_H-M_alt 'P 4/m m m'
_space_group_IT_number 123
_space_group_name_Hall '-P 4 2'
_cell_length_a 4.346
_cell_length_b 4.346
_cell_length_c 6.807
_cell_angle_alpha 90.00
_cell_angle_beta 90.00
_cell_angle_gamma 90.00
loop_
_atom_site_label
_atom_site_type_symbol
_atom_site_fract_x
_atom_site_fract_y
_atom_site_fract_z
La1 La 0.000 0.000 0.228
Er1 Er 0.500 0.500 0.500
Sn1 Sn 0.500 0.500 0.000
```

total moment = 0.00 μB per cell
energy of formation = -1.5 eV per formula unit
ΔE to the lowest computed polymorph = 60.1 meV per atom


(2)
A geometry-optimized GePAuN structure, computed with GGA-PBE.

Geometry as CIF:
```
data_GePAuN
_chemical_formula_sum 'Ge2 P2 Au2 N2'
_space_group_name_H-M_alt 'A m m 2'
_space_group_IT_number 38
_cell_length_a 4.157
_cell_length_b 2.803
_cell_length_c 12.094
_cell_angle_alpha 90.00
_cell_angle_beta 90.00
_cell_angle_gamma 90.00
loop_
_space_group_symop_operation_xyz
'x,y,z'
'-x,-y,z'
'-x,y,z'
'x,-y,z'
'x,y+1/2,z+1/2'
'-x,-y+1/2,z+1/2'
'-x,y+1/2,z+1/2'
'x,-y+1/2,z+1/2'
loop_
_atom_site_label
_atom_site_type_symbol
_atom_site_fract_x
_atom_site_fract_y
_atom_site_fract_z
Ge1 Ge 0.000 0.000 0.000
P1 P 0.000 0.000 0.750
Au1 Au 0.500 0.000 0.870
N1 N 0.000 0.000 0.168
```

raw formation energy = 0.08 eV/atom
total moment = 0.00 μB per cell
ΔE to the lowest computed polymorph = 0.1 meV per atom


- Look up the ΔE to the lowest computed polymorph of the second one.
  0.1 meV per atom